No. 1
Density functional theory data (GGA-PBEsol) for a geometry-optimized Ba2CuRe structure.

Unit cell a=3.1499 b=5.7838 c=5.7838 alpha=90.00 beta=90.00 gamma=90.00
Sites, in units of the cell vectors:
Ba1 0.0000 0.5000 0.0000
Ba2 0.0000 0.0000 0.5000
Cu1 0.5000 0.0000 0.0000
Re1 0.5000 0.5000 0.5000

* magnetic moment: 0.004 Bohr magnetons per cell
* crystal system: tetragonal
* symmetry: No. 123
* calculated volume: 105 Å³/cell
* DOS(E_F): 1.060 states/eV per atom
* ΔE_f: 98.3 kJ/mol of atoms

No. 2
Density functional theory data (GGA-PBEsol) for a geometry-optimized Tl2HgPb structure.

Unit cell a=3.7605 b=3.7605 c=7.6760 alpha=90.00 beta=90.00 gamma=90.00
Sites, in units of the cell vectors:
Pb1 0.5000 0.5000 0.7322
Hg1 0.0000 0.0000 0.4960
Tl1 0.0000 0.0000 0.0043
Tl2 0.5000 0.5000 0.2674

* magnetic moment: 0.000 Bohr magnetons per cell
* crystal system: tetragonal
* symmetry: No. 99
* calculated volume: 109 Å³/cell
* DOS(E_F): 0.457 states/eV per atom
* ΔE_f: 0.2 kJ/mol of atoms

No. 3
Density functional theory data (GGA-PBEsol) for a geometry-optimized Be2NiGeCl structure.

Unit cell a=4.2497 b=4.2497 c=4.3434 alpha=90.00 beta=90.00 gamma=90.00
Sites, in units of the cell vectors:
Ge1 0.0000 0.0000 0.5000
Be1 0.5000 0.0000 0.0000
Be2 0.0000 0.5000 0.0000
Ni1 0.0000 0.0000 0.0000
Cl1 0.5000 0.5000 0.5000

* magnetic moment: 0.000 Bohr magnetons per cell
* crystal system: tetragonal
* symmetry: No. 123
* calculated volume: 78 Å³/cell
* DOS(E_F): 0.650 states/eV per atom
* E: -0.1446 Ha/atom

No. 4
Density functional theory data (GGA-PBEsol) for a geometry-optimized Gd2TiO5 structure.

Unit cell a=3.6139 b=7.5101 c=15.5240 alpha=90.00 beta=90.00 gamma=90.00
Site moments in Bohr magnetons follow the coordinates.
Sites, in units of the cell vectors:
Ti1 0.2500 0.3633 0.4197  0.01
Ti2 0.2500 0.8633 0.0803  0.01
Ti3 0.7500 0.1367 0.9197  0.01
Ti4 0.7500 0.6367 0.5803  0.01
Gd1 0.2500 0.8729 0.7588  6.88
Gd2 0.7500 0.1271 0.2412  6.88
Gd3 0.7500 0.6440 0.9255  6.88
Gd4 0.7500 0.1440 0.5745  6.88
Gd5 0.2500 0.8560 0.4255  6.88
Gd6 0.7500 0.6271 0.2588  6.88
Gd7 0.2500 0.3729 0.7412  6.88
Gd8 0.2500 0.3560 0.0745  6.88
O1 0.7500 0.3939 0.4593  0.01
O2 0.2500 0.1080 0.6702  0.01
O3 0.2500 0.6061 0.5407  0.01
O4 0.2500 0.5855 0.3514  0.00
O5 0.2500 0.1436 0.4865  0.01
O6 0.2500 0.6436 0.0135  0.01
O7 0.7500 0.4145 0.6486  0.00
O8 0.7500 0.3920 0.1702  0.01
O9 0.7500 0.3564 0.9865  0.01
O10 0.7500 0.7657 0.6797  0.00
O11 0.2500 0.2343 0.3203  0.00
O12 0.2500 0.0855 0.1486  0.00
O13 0.7500 0.9145 0.8514  0.00
O14 0.2500 0.6080 0.8298  0.01
O15 0.7500 0.2657 0.8203  0.00
O16 0.7500 0.8564 0.5135  0.01
O17 0.7500 0.8939 0.0407  0.01
O18 0.7500 0.8920 0.3298  0.01
O19 0.2500 0.7343 0.1797  0.00
O20 0.2500 0.1061 0.9593  0.01

* offset from the most stable computed form: 0 meV per atom
* magnetic moment: 56.000 Bohr magnetons per cell
* crystal system: orthorhombic
* symmetry: No. 62
* calculated volume: 421 Å³/cell
* DOS(E_F): 0.000 states/eV per atom

No. 5
Density functional theory data (GGA-PBEsol) for a geometry-optimized CrInCo2 structure.

Unit cell a=3.6382 b=3.6382 c=4.6591 alpha=112.98 beta=112.98 gamma=90.00
Site moments in Bohr magnetons follow the coordinates.
Sites, in units of the cell vectors:
Co1 0.7500 0.2500 0.5000  -0.63
Co2 0.0000 0.0000 0.0000  -0.03
Cr1 0.5000 0.5000 0.0000  2.42
In1 0.2500 0.7500 0.5000  0.00

* magnetic moment: 1.885 Bohr magnetons per cell
* crystal system: tetragonal
* symmetry: No. 119
* calculated volume: 51 Å³/cell
* DOS(E_F): 1.103 states/eV per atom
* ΔE_f: 28.4 kJ/mol of atoms

No. 6
Density functional theory data (GGA-PBEsol) for a geometry-optimized BaReAg2 structure.

Unit cell a=2.9410 b=2.9410 c=9.2901 alpha=90.00 beta=90.00 gamma=90.00
Sites, in units of the cell vectors:
Ag1 0.5000 0.5000 0.2053
Ag2 0.0000 0.0000 0.9968
Re1 0.5000 0.5000 0.7932
Ba1 0.0000 0.0000 0.5047

* offset from the most stable computed form: 0 meV per atom
* magnetic moment: 0.000 Bohr magnetons per cell
* crystal system: tetragonal
* symmetry: No. 99
* calculated volume: 80 Å³/cell
* DOS(E_F): 0.803 states/eV per atom
* ΔE_f: 75.4 kJ/mol of atoms